The following is a DFT calculation (GGA+U) of a relaxed Mn2CrMo2O6 crystal.

## Properties
Crystal system: monoclinic
Total moment: 16.0 μB per cell
Calculated total energy: -7.432 eV/atom

Lattice parameters (Å, degrees): 5.324 5.324 5.474 97.95 97.95 117.66
Sites, in units of the cell vectors:
O: 0.423 0.045 0.724
O: 0.780 0.780 0.747
O: 0.955 0.577 0.276
O: 0.577 0.955 0.276
O: 0.220 0.220 0.253
O: 0.045 0.423 0.724
Mo: 0.363 0.637 0.500
Mo: 0.637 0.363 0.500
Mn: 0.172 0.828 0.000
Mn: 0.828 0.172 0.000
Cr: 0.000 0.000 0.500